## PmTmCu2Ge2 (PBE-GGA)

Data for a relaxed PmTmCu2Ge2 crystal.

a b c (Å): 4.2562 4.2562 7.4637
angles (deg): 90.00 90.00 120.00
Fractional positions:
1 Pm 0.0000 0.0000 0.0000
2 Tm 0.0000 0.0000 0.5000
3 Cu 0.3333 0.6667 0.7267
4 Cu 0.6667 0.3333 0.2733
5 Ge 0.3333 0.6667 0.2604
6 Ge 0.6667 0.3333 0.7396

Output
The magnetic moment comes out at 0.0000 μB per atom. As for the uncorrected energy: -5.1211 eV per atom.

***

## PmVCuGe (PBE-GGA)

Data for a relaxed PmVCuGe crystal.

a b c (Å): 4.7714 4.7714 4.7714
angles (deg): 60.00 60.00 60.00
Fractional positions:
1 Pm 0.0000 0.0000 0.0000
2 V 0.5000 0.5000 0.5000
3 Cu 0.7500 0.7500 0.7500
4 Ge 0.2500 0.2500 0.2500

Output
The magnetic moment comes out at 0.8178 μB per atom. As for the uncorrected energy: -5.7248 eV per atom.

***

## Pm2YCu2Ge2 (PBE-GGA)

Data for a relaxed Pm2YCu2Ge2 crystal.

a b c (Å): 10.6309 10.6309 10.6309
angles (deg): 23.00 23.00 23.00
Fractional positions:
1 Pm 0.1207 0.1207 0.1207
2 Pm 0.8793 0.8793 0.8793
3 Y 0.0000 0.0000 0.0000
4 Cu 0.3908 0.3908 0.3908
5 Cu 0.6092 0.6092 0.6092
6 Ge 0.2725 0.2725 0.2725
7 Ge 0.7275 0.7275 0.7275

Output
The magnetic moment comes out at 0.0000 μB per atom. As for the uncorrected energy: -5.2807 eV per atom.

***

## PmZnCuGe (PBE-GGA)

Data for a relaxed PmZnCuGe crystal.

a b c (Å): 4.7632 4.7632 4.7632
angles (deg): 60.00 60.00 60.00
Fractional positions:
1 Pm 0.0000 0.0000 0.0000
2 Zn 0.5000 0.5000 0.5000
3 Cu 0.2500 0.2500 0.2500
4 Ge 0.7500 0.7500 0.7500

Output
The magnetic moment comes out at 0.0000 μB per atom. As for the uncorrected energy: -3.9220 eV per atom.

***

## PmZnCuGe2 (PBE-GGA)

Data for a relaxed PmZnCuGe2 crystal.

a b c (Å): 6.1370 6.1370 6.1370
angles (deg): 140.53 140.53 57.05
Fractional positions:
1 Pm 0.0000 0.0000 0.0000
2 Zn 0.7500 0.2500 0.5000
3 Cu 0.2500 0.7500 0.5000
4 Ge 0.3827 0.3827 0.0000
5 Ge 0.6173 0.6173 0.0000

Output
The magnetic moment comes out at 0.0000 μB per atom. As for the uncorrected energy: -4.3294 eV per atom.

***

## Pm2Zn3CuGe4 (PBE-GGA)

Data for a relaxed Pm2Zn3CuGe4 crystal.

a b c (Å): 4.3049 4.3049 10.3232
angles (deg): 90.00 90.00 90.00
Fractional positions:
1 Pm 0.0000 0.5000 0.2474
2 Pm 0.5000 0.0000 0.7526
3 Zn 0.0000 0.0000 0.0000
4 Zn 0.0000 0.5000 0.6345
5 Zn 0.5000 0.0000 0.3655
6 Cu 0.5000 0.5000 0.0000
7 Ge 0.0000 0.0000 0.5000
8 Ge 0.0000 0.5000 0.8686
9 Ge 0.5000 0.0000 0.1314
10 Ge 0.5000 0.5000 0.5000

Output
The magnetic moment comes out at 0.0000 μB per atom. As for the uncorrected energy: -3.9917 eV per atom.

***

Calculated calculated volume (Å³/f.u.), listed in the same order as above: 117; 77; 161; 76; 93; 191
Calculated formation enthalpy at 0 K (eV per atom), listed in the same order as above: -0.680; -0.079; -0.510; -0.238; -0.458; -0.403